(1)
KRbTl after structural relaxation, computed with GGA-PBE.

Results
Calculated formation energy, meV/atom: 32
Offset from the most stable computed form, meV/atom: 87
M_tot, μB per formula unit: 0.00
Crystal system: orthorhombic
N(E_F), states/eV per cell: 2.1

a = 4.012 Å, b = 6.345 Å, c = 6.765 Å
α = 90.00°, β = 90.00°, γ = 90.00°
Space group Pmmm (No. 47)
One atom of each set of equivalent atoms:
K  0.000  0.000  0.000 x1
Rb  0.000  0.500  0.500 x1
Tl  0.500  0.500  0.000 x1



(2)
Pu12Ag3H5 after structural relaxation, computed with GGA-PBE.

Results
DFT total energy, eV/atom: -9.2759
M_tot, μB per formula unit: 0.03
Crystal system: cubic
N(E_F), states/eV per cell: 342.5

a = 14.162 Å, b = 14.162 Å, c = 14.162 Å
α = 90.00°, β = 90.00°, γ = 90.00°
Space group Ia-3d (No. 230)
One atom of each set of equivalent atoms:
Pu  0.034  0.122  0.926 x96
Ag  0.000  0.250  0.125 x24
H  0.000  0.000  0.000 x16
H  0.000  0.250  0.375 x24



(3)
La5Sm4Ga4 after structural relaxation, computed with GGA-PBE.

Results
Calculated formation energy, meV/atom: -369
M_tot, μB per formula unit: 0.00
Crystal system: tetragonal
N(E_F), states/eV per cell: 29.7

a = 12.250 Å, b = 12.250 Å, c = 5.140 Å
α = 90.00°, β = 90.00°, γ = 90.00°
Space group I4/m (No. 87)
One atom of each set of equivalent atoms:
La  0.000  0.000  0.000 x2
La  0.110  0.189  0.500 x8
Sm  0.092  0.380  0.000 x8
Ga  0.107  0.764  0.000 x8



(4)
CeCdGeAu after structural relaxation, computed with GGA-PBE.

Results
Calculated formation energy, meV/atom: -474
Offset from the most stable computed form, meV/atom: 0
M_tot, μB per formula unit: 0.84
Crystal system: cubic
N(E_F), states/eV per cell: 22.3

a = 7.080 Å, b = 7.080 Å, c = 7.080 Å
α = 90.00°, β = 90.00°, γ = 90.00°
Space group F-43m (No. 216)
One atom of each set of equivalent atoms:
Ce  0.000  0.000  0.000 x4
Cd  0.000  0.000  0.500 x4
Ge  0.250  0.250  0.250 x4
Au  0.250  0.250  0.750 x4



(5)
As2H7I2 after structural relaxation, computed with GGA-PBE.

Results
DFT total energy, eV/atom: -3.1518
M_tot, μB per formula unit: 0.00
Crystal system: monoclinic
N(E_F), states/eV per cell: 6.9

a = 12.133 Å, b = 6.554 Å, c = 6.017 Å
α = 90.00°, β = 110.42°, γ = 90.00°
Space group C2/m (No. 12)
One atom of each set of equivalent atoms:
As  0.158  0.000  0.106 x4
H  0.000  0.000  0.000 x2
H  0.221  0.000  0.929 x4
H  0.223  0.175  0.263 x8
I  0.000  0.251  0.500 x4



(6)
Si2TcAg after structural relaxation, computed with GGA-PBE.

Results
E_form (uncorrected), kJ/mol of formula units: 69
Offset from the most stable computed form, meV/atom: 236
M_tot, μB per formula unit: 0.00
Crystal system: orthorhombic
N(E_F), states/eV per cell: 6.9

a = 6.055 Å, b = 6.108 Å, c = 3.129 Å
α = 90.00°, β = 90.00°, γ = 90.00°
Space group Cmmm (No. 65)
One atom of each set of equivalent atoms:
Si  0.250  0.250  0.000 x4
Tc  0.000  0.000  0.500 x2
Ag  0.000  0.500  0.500 x2